This record from Alexandria describes crystalline RbCd2Ni2 at its relaxed geometry. The functional is GGA-PBE.

The structure in POSCAR format:
```
RbCd2Ni2
1.0
4.603 0.000 0.000
0.000 4.603 0.000
2.302 2.302 5.335
Ni Cd Rb
2 2 1
direct
0.611 0.611 0.779
0.389 0.389 0.221
0.250 0.750 0.500
0.750 0.250 0.500
0.000 0.000 0.000
```

**Calculated formation energy**: 0.33 eV/atom
**E**: -12.70 eV/f.u.
**Size of the total moment**: 0.000 μB per formula unit